## P
A geometry-optimized La2MgV2 structure. Source: Alexandria via LeMat-Bulk, functional PBE.

Properties
Space-group type: No. 127

Unit cell a=8.8238 b=8.8238 c=3.3596 alpha=90.00 beta=90.00 gamma=90.00
Sites, in units of the cell vectors:
La  0.1358  0.3642  0.0000
La  0.3642  0.8642  0.0000
La  0.6358  0.1358  0.0000
La  0.8642  0.6358  0.0000
Mg  0.0000  0.0000  0.0000
Mg  0.5000  0.5000  0.0000
V  0.1718  0.6718  0.5000
V  0.3282  0.1718  0.5000
V  0.6718  0.8282  0.5000
V  0.8282  0.3282  0.5000

## Q
A geometry-optimized La2MgV2 structure. Source: Alexandria via LeMat-Bulk, functional PBE.

Properties
Space-group type: No. 127

Unit cell a=8.3506 b=8.3506 c=3.8245 alpha=90.00 beta=90.00 gamma=90.00
Sites, in units of the cell vectors:
La  0.2031  0.2969  0.0000
La  0.2969  0.7969  0.0000
La  0.7031  0.2031  0.0000
La  0.7969  0.7031  0.0000
Mg  0.0000  0.0000  0.5000
Mg  0.5000  0.5000  0.5000
V  0.0800  0.5800  0.5000
V  0.4200  0.0800  0.5000
V  0.5800  0.9200  0.5000
V  0.9200  0.4200  0.5000

The structure with the most favorable energy is Q; the runner-up is 323 meV per atom above it.

## P
A geometry-optimized La2MgV2 structure. Source: Alexandria via LeMat-Bulk, functional PBE.

Properties
Space-group type: No. 139

Unit cell a=11.1398 b=11.1398 c=11.1398 alpha=162.32 beta=162.32 gamma=25.10
Sites, in units of the cell vectors:
La  0.1207  0.1207  0.0000
La  0.8793  0.8793  0.0000
Mg  0.5000  0.5000  0.0000
V  0.2500  0.7500  0.5000
V  0.7500  0.2500  0.5000

## Q
A geometry-optimized La2MgV2 structure. Source: Alexandria via LeMat-Bulk, functional PBE.

Properties
Space-group type: No. 139

Unit cell a=7.2572 b=7.2572 c=7.2572 alpha=143.80 beta=143.80 gamma=52.13
Sites, in units of the cell vectors:
La  0.2500  0.7500  0.5000
La  0.7500  0.2500  0.5000
Mg  0.0000  0.0000  0.0000
V  0.4295  0.4295  0.0000
V  0.5705  0.5705  0.0000

The structure with the most favorable energy is P; the runner-up is 337 meV per atom above it.

## P
A geometry-optimized LaMg2V structure. Source: Alexandria via LeMat-Bulk, functional PBE.

Properties
Space-group type: No. 122

Unit cell a=11.6075 b=11.6075 c=11.6075 alpha=158.35 beta=158.35 gamma=30.81
Sites, in units of the cell vectors:
La  0.0000  0.0000  0.0000
La  0.7500  0.2500  0.5000
Mg  0.1605  0.6250  0.0355
Mg  0.3750  0.4105  0.5355
Mg  0.5895  0.1250  0.9645
Mg  0.8750  0.8395  0.4645
V  0.2500  0.7500  0.5000
V  0.5000  0.5000  0.0000

## Q
A geometry-optimized LaMg2V structure. Source: Alexandria via LeMat-Bulk, functional PBE.

Properties
Space-group type: No. 225

Unit cell a=5.1907 b=5.1907 c=5.1907 alpha=60.00 beta=60.00 gamma=60.00
Sites, in units of the cell vectors:
La  0.0000  0.0000  0.0000
Mg  0.2500  0.2500  0.2500
Mg  0.7500  0.7500  0.7500
V  0.5000  0.5000  0.5000

The structure with the most favorable energy is Q; the runner-up is 257 meV per atom above it.

## P
A geometry-optimized LaMgW2 structure. Source: Alexandria via LeMat-Bulk, functional PBE.

Properties
Space-group type: No. 123

Unit cell a=4.1227 b=4.1227 c=4.8410 alpha=90.00 beta=90.00 gamma=90.00
Sites, in units of the cell vectors:
La  0.0000  0.0000  0.0000
Mg  0.5000  0.5000  0.0000
W  0.0000  0.5000  0.5000
W  0.5000  0.0000  0.5000

## Q
A geometry-optimized LaMgW2 structure. Source: Alexandria via LeMat-Bulk, functional PBE.

Properties
Space-group type: No. 123

Unit cell a=3.5952 b=3.5952 c=6.7539 alpha=90.00 beta=90.00 gamma=90.00
Sites, in units of the cell vectors:
La  0.0000  0.0000  0.0000
Mg  0.0000  0.0000  0.5000
W  0.5000  0.5000  0.3239
W  0.5000  0.5000  0.6761

The structure with the most favorable energy is Q; the runner-up is 100 meV per atom above it.

## P
A geometry-optimized LaMg14W structure. Source: Alexandria via LeMat-Bulk, functional PBE.

Properties
Space-group type: No. 38

Unit cell a=10.4293 b=6.5067 c=6.5067 alpha=56.21 beta=90.00 gamma=90.00
Sites, in units of the cell vectors:
La  0.0000  0.0000  0.0000
Mg  0.0000  0.0019  0.4947
Mg  0.0000  0.4947  0.0019
Mg  0.2266  0.6353  0.6353
Mg  0.2486  0.1539  0.6387
Mg  0.2486  0.6387  0.1539
Mg  0.2675  0.1506  0.1506
Mg  0.5000  0.4887  0.4887
Mg  0.5000  0.4927  0.9838
Mg  0.5000  0.9831  0.9831
Mg  0.5000  0.9838  0.4927
Mg  0.7325  0.1506  0.1506
Mg  0.7514  0.1539  0.6387
Mg  0.7514  0.6387  0.1539
Mg  0.7734  0.6353  0.6353
W  0.0000  0.4785  0.4785

## Q
A geometry-optimized LaMg14W structure. Source: Alexandria via LeMat-Bulk, functional PBE.

Properties
Space-group type: No. 187

Unit cell a=6.4548 b=6.4548 c=10.2352 alpha=90.00 beta=90.00 gamma=120.00
Sites, in units of the cell vectors:
La  0.0000  0.0000  0.0000
Mg  0.0170  0.5085  0.0000
Mg  0.1625  0.3251  0.2716
Mg  0.1625  0.3251  0.7284
Mg  0.1625  0.8375  0.2716
Mg  0.1625  0.8375  0.7284
Mg  0.4915  0.5085  0.0000
Mg  0.4915  0.9830  0.0000
Mg  0.5043  0.0087  0.5000
Mg  0.5043  0.4957  0.5000
Mg  0.6667  0.3333  0.2344
Mg  0.6667  0.3333  0.7656
Mg  0.6749  0.8375  0.2716
Mg  0.6749  0.8375  0.7284
Mg  0.9913  0.4957  0.5000
W  0.0000  0.0000  0.5000

The structure with the most favorable energy is P; the runner-up is 34 meV per atom above it.

## P
A geometry-optimized LaYMg3 structure. Source: Alexandria via LeMat-Bulk, functional PBE.

Properties
Space-group type: No. 74

Unit cell a=11.3836 b=11.3836 c=11.3836 alpha=152.89 beta=64.46 gamma=122.76
Sites, in units of the cell vectors:
La  0.1662  0.1178  0.0484
La  0.4306  0.8822  0.5484
La  0.5694  0.1178  0.4516
La  0.8338  0.8822  0.9516
Y  0.1336  0.3836  0.7500
Y  0.3650  0.1150  0.2500
Y  0.6350  0.8850  0.7500
Y  0.8664  0.6164  0.2500
Mg  0.0027  0.8589  0.1439
Mg  0.0342  0.5989  0.4353
Mg  0.2150  0.8589  0.3561
Mg  0.2916  0.6347  0.6569
Mg  0.3364  0.4011  0.9353
Mg  0.4778  0.6347  0.8431
Mg  0.5222  0.3653  0.1569
Mg  0.6636  0.5989  0.0647
Mg  0.7084  0.3653  0.3431
Mg  0.7850  0.1411  0.6439
Mg  0.9658  0.4011  0.5647
Mg  0.9973  0.1411  0.8561

## Q
A geometry-optimized LaYMg3 structure. Source: Alexandria via LeMat-Bulk, functional PBE.

Properties
Space-group type: No. 221

Unit cell a=5.5769 b=5.5769 c=5.5769 alpha=90.00 beta=90.00 gamma=90.00
Sites, in units of the cell vectors:
La  0.0000  0.0000  0.0000
Y  0.5000  0.5000  0.5000
Mg  0.0000  0.5000  0.5000
Mg  0.5000  0.0000  0.5000
Mg  0.5000  0.5000  0.0000

## R
A geometry-optimized LaYMg3 structure. Source: Alexandria via LeMat-Bulk, functional PBE.

Properties
Space-group type: No. 221

Unit cell a=5.6055 b=5.6055 c=5.6055 alpha=90.00 beta=90.00 gamma=90.00
Sites, in units of the cell vectors:
La  0.0000  0.0000  0.0000
Y  0.5000  0.5000  0.5000
Mg  0.0000  0.0000  0.5000
Mg  0.0000  0.5000  0.0000
Mg  0.5000  0.0000  0.0000

The structure with the most favorable energy is P; the runner-up is 734 meV per atom above it.

## P
A geometry-optimized LaYMg structure. Source: Alexandria via LeMat-Bulk, functional PBE.

Properties
Space-group type: No. 156

Unit cell a=5.5815 b=5.5815 c=3.4425 alpha=90.00 beta=90.00 gamma=120.00
Sites, in units of the cell vectors:
La  0.0000  0.0000  0.0000
Y  0.3333  0.6667  0.5760
Mg  0.6667  0.3333  0.3210

## Q
A geometry-optimized LaYMg structure. Source: Alexandria via LeMat-Bulk, functional PBE.

Properties
Space-group type: No. 107

Unit cell a=7.0435 b=7.0435 c=7.0435 alpha=148.69 beta=148.69 gamma=44.87
Sites, in units of the cell vectors:
La  0.0000  0.0000  0.0000
Y  0.3118  0.3118  0.0000
Mg  0.6659  0.6659  0.0000

The structure with the most favorable energy is Q; the runner-up is 87 meV per atom above it.

## P
A geometry-optimized LaYMg structure. Source: Alexandria via LeMat-Bulk, functional PBE.

Properties
Space-group type: No. 63

Unit cell a=6.9408 b=6.9408 c=5.4105 alpha=90.00 beta=90.00 gamma=134.10
Sites, in units of the cell vectors:
La  0.0896  0.9104  0.7500
La  0.9104  0.0896  0.2500
Y  0.4021  0.5979  0.7500
Y  0.5979  0.4021  0.2500
Mg  0.2491  0.7509  0.2500
Mg  0.7509  0.2491  0.7500

## Q
A geometry-optimized LaYMg structure. Source: Alexandria via LeMat-Bulk, functional PBE.

Properties
Space-group type: No. 166

Unit cell a=8.0830 b=8.0830 c=8.0830 alpha=40.03 beta=40.03 gamma=40.03
Sites, in units of the cell vectors:
La  0.1223  0.1223  0.1223
La  0.8777  0.8777  0.8777
Y  0.2918  0.2918  0.2918
Y  0.7082  0.7082  0.7082
Mg  0.4357  0.4357  0.4357
Mg  0.5643  0.5643  0.5643

## R
A geometry-optimized LaYMg structure. Source: Alexandria via LeMat-Bulk, functional PBE.

Properties
Space-group type: No. 12

Unit cell a=6.3764 b=6.3764 c=8.9100 alpha=110.10 beta=110.10 gamma=33.50
Sites, in units of the cell vectors:
La  0.1536  0.1536  0.0798
La  0.8464  0.8464  0.9202
Y  0.4902  0.4902  0.2910
Y  0.5098  0.5098  0.7090
Mg  0.1882  0.1882  0.5797
Mg  0.8118  0.8118  0.4203

## S
A geometry-optimized LaYMg structure. Source: Alexandria via LeMat-Bulk, functional PBE.

Properties
Space-group type: No. 216

Unit cell a=5.3629 b=5.3629 c=5.3629 alpha=60.00 beta=60.00 gamma=60.00
Sites, in units of the cell vectors:
La  0.0000  0.0000  0.0000
Y  0.5000  0.5000  0.5000
Mg  0.7500  0.7500  0.7500

The structure with the most favorable energy is P; the runner-up is 37 meV per atom above it.

## P
A geometry-optimized La3YMg structure. Source: Alexandria via LeMat-Bulk, functional PBE.

Properties
Space-group type: No. 221

Unit cell a=5.8911 b=5.8911 c=5.8911 alpha=90.00 beta=90.00 gamma=90.00
Sites, in units of the cell vectors:
La  0.0000  0.0000  0.5000
La  0.0000  0.5000  0.0000
La  0.5000  0.0000  0.0000
Y  0.5000  0.5000  0.5000
Mg  0.0000  0.0000  0.0000

## Q
A geometry-optimized La3YMg structure. Source: Alexandria via LeMat-Bulk, functional PBE.

Properties
Space-group type: No. 12

Unit cell a=9.9437 b=9.9437 c=9.4246 alpha=104.50 beta=104.50 gamma=21.75
Sites, in units of the cell vectors:
La  0.0040  0.0040  0.2715
La  0.1901  0.1901  0.3706
La  0.3996  0.3996  0.9600
La  0.6004  0.6004  0.0400
La  0.8099  0.8099  0.6294
La  0.9960  0.9960  0.7285
Y  0.2041  0.2041  0.8393
Y  0.7959  0.7959  0.1607
Mg  0.3967  0.3967  0.4283
Mg  0.6033  0.6033  0.5717

The structure with the most favorable energy is Q; the runner-up is 590 meV per atom above it.

## P
A geometry-optimized LaY4Mg structure. Source: Alexandria via LeMat-Bulk, functional PBE.

Properties
Space-group type: No. 15

Unit cell a=10.2987 b=10.2987 c=5.9292 alpha=92.98 beta=92.98 gamma=141.62
Sites, in units of the cell vectors:
La  0.1218  0.8782  0.7500
La  0.8782  0.1218  0.2500
Y  0.0433  0.4636  0.7528
Y  0.2275  0.3062  0.8479
Y  0.3062  0.2275  0.3479
Y  0.4636  0.0433  0.2528
Y  0.5364  0.9567  0.7472
Y  0.6938  0.7725  0.6521
Y  0.7725  0.6938  0.1521
Y  0.9567  0.5364  0.2472
Mg  0.3630  0.6370  0.2500
Mg  0.6370  0.3630  0.7500

## Q
A geometry-optimized LaY4Mg structure. Source: Alexandria via LeMat-Bulk, functional PBE.

Properties
Space-group type: No. 216

Unit cell a=6.5971 b=6.5971 c=6.5971 alpha=60.00 beta=60.00 gamma=60.00
Sites, in units of the cell vectors:
La  0.0000  0.0000  0.0000
Y  0.3749  0.3749  0.3749
Y  0.3749  0.3749  0.8752
Y  0.3749  0.8752  0.3749
Y  0.8752  0.3749  0.3749
Mg  0.7500  0.7500  0.7500

The structure with the most favorable energy is P; the runner-up is 139 meV per atom above it.